The following is a PBE calculation of a relaxed structure of Pu8Mn5Ru, from the Alexandria database.

Cell: 8.227 8.227 8.374 Å, 90.00 90.00 90.00°
Space group I-4 (No. 82)
Symmetry-distinct sites (fractional):
Pu1 0.070 0.320 0.056 [8 per cell]
Pu2 0.071 0.178 0.697 [8 per cell]
Mn1 0.000 0.000 0.000 [2 per cell]
Mn2 0.122 0.250 0.377 [8 per cell]
Ru1 0.000 0.500 0.750 [2 per cell]

Computed properties:
- Electronic total energy: -11.99 eV per atom



The following is a PBE calculation of a relaxed structure of RbTl2Ge, from the Alexandria database.

Cell: 9.050 9.050 7.112 Å, 90.00 90.00 90.00°
Space group I-42d (No. 122)
Symmetry-distinct sites (fractional):
Rb1 0.000 0.000 0.000 [4 per cell]
Tl1 0.171 0.250 0.625 [8 per cell]
Ge1 0.000 0.000 0.500 [4 per cell]

Computed properties:
- Polymorph energy (0 for the lowest one): 98 meV per atom



The following is a PBE calculation of a relaxed structure of CaS2N2, from the Alexandria database.

Cell: 3.771 3.771 4.908 Å, 90.00 90.00 90.00°
Space group P4/mmm (No. 123)
Symmetry-distinct sites (fractional):
Ca1 0.000 0.000 0.000 [1 per cell]
S1 0.500 0.500 0.000 [1 per cell]
S2 0.500 0.500 0.500 [1 per cell]
N1 0.000 0.500 0.500 [2 per cell]

Computed properties:
- Polymorph energy (0 for the lowest one): 284 meV per atom
- Raw formation energy: 0.6567 eV per atom



The following is a PBE calculation of a relaxed structure of NaNpGe, from the Alexandria database.

Cell: 9.464 3.490 8.292 Å, 90.00 106.99 90.00°
Space group C2/m (No. 12)
Symmetry-distinct sites (fractional):
Na1 0.153 0.000 0.086 [4 per cell]
Np1 0.180 0.000 0.541 [4 per cell]
Ge1 0.013 0.500 0.724 [4 per cell]

Computed properties:
- Electronic total energy: -6.34 eV per atom



The following is a PBE calculation of a relaxed structure of KTiO2, from the Alexandria database.

Cell: 5.783 4.136 9.832 Å, 90.00 90.00 90.00°
Space group Pnma (No. 62)
Symmetry-distinct sites (fractional):
K1 0.001 0.250 0.140 [4 per cell]
Ti1 0.001 0.750 0.383 [4 per cell]
O1 0.001 0.250 0.414 [4 per cell]
O2 0.249 0.250 0.750 [4 per cell]

Computed properties:
- Raw formation energy: -2.3141 eV per atom



The following is a PBE calculation of a relaxed structure of La8Tb2Ho3, from the Alexandria database.

Cell: 20.597 7.748 5.828 Å, 90.00 90.03 90.00°
Space group C2/m (No. 12)
Symmetry-distinct sites (fractional):
La1 0.105 0.200 0.000 [8 per cell]
La2 0.130 0.500 0.499 [4 per cell]
La3 0.175 0.000 0.501 [4 per cell]
Tb1 0.240 0.500 0.999 [4 per cell]
Ho1 0.000 0.217 0.500 [4 per cell]
Ho2 0.000 0.500 0.000 [2 per cell]

Computed properties:
- Polymorph energy (0 for the lowest one): 36 meV per atom



The following is a PBE calculation of a relaxed structure of PrGdRh, from the Alexandria database.

Cell: 6.956 6.956 6.956 Å, 90.00 90.00 90.00°
Space group F-43m (No. 216)
Symmetry-distinct sites (fractional):
Pr1 0.000 0.000 0.000 [4 per cell]
Gd1 0.000 0.000 0.500 [4 per cell]
Rh1 0.250 0.250 0.750 [4 per cell]

Computed properties:
- Polymorph energy (0 for the lowest one): 0 meV per atom



The following is a PBE calculation of a relaxed structure of Cs3Sm2BiTe6, from the Alexandria database.

Cell: 8.054 13.951 9.320 Å, 90.00 106.75 90.00°
Space group C2/m (No. 12)
Symmetry-distinct sites (fractional):
Cs1 0.000 0.000 0.000 [2 per cell]
Cs2 0.000 0.333 0.000 [4 per cell]
Sm1 0.000 0.167 0.500 [4 per cell]
Bi1 0.000 0.500 0.500 [2 per cell]
Te1 0.230 0.000 0.693 [4 per cell]
Te2 0.231 0.333 0.693 [8 per cell]

Computed properties:
- Raw formation energy: -1.1411 eV per atom



The records above give, respectively, density values of 13.6, 6.5, 3.1, 8.4, 3.4, 6.9, 7.9, 5.5 g/cm³.